1.
Computed, not measured: crystalline KCdInSbBr at its relaxed geometry at the PBE-GGA level of DFT.

POSCAR file:
```
KCdInSbBr
1.0
-4.494 -0.411 1.155
-2.993 -3.073 -4.022
-0.885 -6.624 3.124
K Cd In Sb Br
1 1 1 1 1
Direct
0.935 0.834 0.211
0.760 0.598 0.768
0.494 0.288 0.631
0.158 0.912 0.657
0.639 0.427 0.179
```

energy above the most stable polymorph in this dataset: 0.046 eV/atom
total DFT energy (no corrections): -13.13 eV for the cell shown
energy relative to the elements, uncorrected: -0.516 eV per atom
space group: P1

=====

2.
Computed, not measured: crystalline KCdInSbBr at its relaxed geometry at the PBE-GGA level of DFT.

POSCAR file:
```
KCdInSbBr
1.0
-2.370 -2.261 -3.503
0.693 -2.175 4.218
-8.129 3.586 3.184
K Cd In Sb Br
1 1 1 1 1
Direct
0.000 0.000 0.774
0.333 0.667 0.228
0.667 0.333 0.497
0.000 0.000 0.334
0.333 0.667 0.931
```

energy above the most stable polymorph in this dataset: 0.021 eV/atom
total DFT energy (no corrections): -13.25 eV for the cell shown
energy relative to the elements, uncorrected: -0.541 eV per atom
space group: P3m1

=====

3.
Computed, not measured: crystalline KCdInSbBr at its relaxed geometry at the PBE-GGA level of DFT.

POSCAR file:
```
KCdInSbBr
1.0
-0.505 -1.896 4.296
3.771 -1.676 2.297
2.532 7.639 6.266
K Cd In Sb Br
1 1 1 1 1
Direct
0.357 0.645 0.736
0.541 0.832 0.182
0.785 0.076 0.451
0.172 0.463 0.289
0.637 0.926 0.895
```

energy above the most stable polymorph in this dataset: 0.034 eV/atom
total DFT energy (no corrections): -13.19 eV for the cell shown
energy relative to the elements, uncorrected: -0.528 eV per atom
space group: Cm

=====

4.
Computed, not measured: crystalline KCdInSbBr at its relaxed geometry at the PBE-GGA level of DFT.

POSCAR file:
```
KCdInSbBr
1.0
3.926 0.000 0.000
0.000 4.147 0.000
-0.010 -0.012 10.304
K Cd In Sb Br
1 1 1 1 1
Direct
0.491 0.726 0.684
0.488 0.728 0.057
0.491 0.229 0.277
0.988 0.228 0.962
0.991 0.226 0.526
```

energy above the most stable polymorph in this dataset: 0.091 eV/atom
total DFT energy (no corrections): -12.90 eV for the cell shown
energy relative to the elements, uncorrected: -0.470 eV per atom
space group: P1

=====

5.
Computed, not measured: crystalline KCdInSbBr at its relaxed geometry at the PBE-GGA level of DFT.

POSCAR file:
```
KCdInSbBr
1.0
-2.546 -1.730 3.652
4.699 0.704 0.486
-4.971 26.797 9.228
Sb K In Br Cd
3 3 3 3 3
Direct
0.000 0.000 0.042
0.333 0.667 0.708
0.667 0.333 0.375
0.000 0.000 0.895
0.333 0.667 0.561
0.667 0.333 0.228
0.000 0.000 0.655
0.333 0.667 0.321
0.667 0.333 0.988
0.000 0.000 0.508
0.333 0.667 0.175
0.667 0.333 0.841
0.000 0.000 0.410
0.333 0.667 0.077
0.667 0.333 0.743
```

energy above the most stable polymorph in this dataset: 0.027 eV/atom
total DFT energy (no corrections): -39.66 eV for the cell shown
energy relative to the elements, uncorrected: -0.535 eV per atom
space group: R3m

=====

6.
Computed, not measured: crystalline KCdInSbBr at its relaxed geometry at the PBE-GGA level of DFT.

POSCAR file:
```
KCdInSbBr
1.0
7.782 0.000 0.000
0.000 4.539 0.000
-4.783 0.000 10.634
K Cd In Sb Br
2 2 2 2 2
Direct
0.201 0.000 0.201
0.201 0.500 0.701
0.842 0.000 0.809
0.842 0.500 0.309
0.740 0.000 0.550
0.740 0.500 0.050
0.563 0.000 0.903
0.563 0.500 0.403
0.101 0.000 0.465
0.101 0.500 0.965
```

energy above the most stable polymorph in this dataset: 0.052 eV/atom
total DFT energy (no corrections): -26.20 eV for the cell shown
energy relative to the elements, uncorrected: -0.510 eV per atom
space group: Cm

=====

7.
Computed, not measured: crystalline KCdInSbBr at its relaxed geometry at the PBE-GGA level of DFT.

POSCAR file:
```
KCdInSbBr
1.0
9.693 0.000 0.052
0.000 4.956 0.000
-2.643 0.000 8.128
Sb K In Br Cd
2 2 2 2 2
Direct
0.761 0.000 0.358
0.761 0.500 0.858
0.084 0.000 0.137
0.084 0.500 0.637
0.563 0.000 0.957
0.563 0.500 0.457
0.230 0.000 0.853
0.230 0.500 0.353
0.810 0.000 0.709
0.810 0.500 0.209
```

energy above the most stable polymorph in this dataset: 0.014 eV/atom
total DFT energy (no corrections): -26.57 eV for the cell shown
energy relative to the elements, uncorrected: -0.548 eV per atom
space group: Cm

=====

8.
Computed, not measured: crystalline KCdInSbBr at its relaxed geometry at the PBE-GGA level of DFT.

POSCAR file:
```
KCdInSbBr
1.0
-3.247 -3.153 1.808
4.213 0.763 2.323
-3.982 6.860 4.852
K Cd In Sb Br
1 1 1 1 1
Direct
0.866 0.239 0.252
0.529 0.560 0.600
0.196 0.896 0.858
0.863 0.227 0.642
0.532 0.570 0.095
```

energy above the most stable polymorph in this dataset: 0.008 eV/atom
total DFT energy (no corrections): -13.32 eV for the cell shown
energy relative to the elements, uncorrected: -0.554 eV per atom
space group: P1

=====

9.
Computed, not measured: crystalline KCdInSbBr at its relaxed geometry at the PBE-GGA level of DFT.

POSCAR file:
```
KCdInSbBr
1.0
4.727 0.000 0.000
-2.364 4.094 0.000
0.000 0.000 29.229
Sb K In Br Cd
3 3 3 3 3
Direct
0.000 0.000 0.695
0.333 0.667 0.361
0.667 0.333 0.028
0.000 0.000 0.176
0.333 0.667 0.843
0.667 0.333 0.509
0.000 0.000 0.416
0.333 0.667 0.082
0.667 0.333 0.749
0.000 0.000 0.896
0.333 0.667 0.563
0.667 0.333 0.229
0.000 0.000 0.992
0.333 0.667 0.659
0.667 0.333 0.325
```

energy above the most stable polymorph in this dataset: 0.030 eV/atom
total DFT energy (no corrections): -39.62 eV for the cell shown
energy relative to the elements, uncorrected: -0.532 eV per atom
space group: R3m

=====

10.
Computed, not measured: crystalline KCdInSbBr at its relaxed geometry at the PBE-GGA level of DFT.

POSCAR file:
```
KCdInSbBr
1.0
4.615 -0.002 -0.012
0.001 5.933 -0.299
0.015 2.161 6.887
K Cd In Sb Br
1 1 1 1 1
Direct
0.925 0.596 0.177
0.423 0.351 0.783
0.423 0.955 0.634
0.923 0.647 0.655
0.424 0.169 0.199
```

energy above the most stable polymorph in this dataset: 0.052 eV/atom
total DFT energy (no corrections): -13.10 eV for the cell shown
energy relative to the elements, uncorrected: -0.510 eV per atom
space group: P1

=====

11.
Computed, not measured: crystalline KCdInSbBr at its relaxed geometry at the PBE-GGA level of DFT.

POSCAR file:
```
KCdInSbBr
1.0
4.837 0.000 0.000
-2.419 4.189 0.000
0.000 0.000 26.798
Sb K In Br Cd
3 3 3 3 3
Direct
0.000 0.000 0.876
0.333 0.667 0.543
0.667 0.333 0.209
0.000 0.000 0.100
0.333 0.667 0.766
0.667 0.333 0.433
0.000 0.000 0.293
0.333 0.667 0.960
0.667 0.333 0.627
0.000 0.000 0.702
0.333 0.667 0.369
0.667 0.333 0.036
0.000 0.000 0.538
0.333 0.667 0.204
0.667 0.333 0.871
```

energy above the most stable polymorph in this dataset: 0.000 eV/atom
total DFT energy (no corrections): -40.07 eV for the cell shown
energy relative to the elements, uncorrected: -0.562 eV per atom
space group: R3m

=====

12.
Computed, not measured: crystalline MnCd2InBr6 at its relaxed geometry at the PBE-GGA level of DFT.

POSCAR file:
```
MnCd2InBr6
1.0
8.654 0.431 0.447
3.292 9.441 1.528
3.292 1.177 9.491
Mn Cd In Br
2 4 2 12
Direct
0.250 0.177 0.823
0.750 0.823 0.177
0.333 0.807 0.606
0.167 0.394 0.193
0.667 0.193 0.394
0.833 0.606 0.807
0.250 0.914 0.086
0.750 0.086 0.914
0.139 0.049 0.703
0.361 0.297 0.951
0.861 0.951 0.297
0.639 0.703 0.049
0.432 0.939 0.307
0.068 0.693 0.061
0.568 0.061 0.693
0.932 0.307 0.939
0.120 0.665 0.613
0.380 0.387 0.335
0.880 0.335 0.387
0.620 0.613 0.665
```

total DFT energy (no corrections): -59.44 eV for the cell shown
energy relative to the elements, uncorrected: -0.595 eV per atom
space group: C2/c

=====

13.
Computed, not measured: crystalline Na3CdIn3Br8 at its relaxed geometry at the PBE-GGA level of DFT.

POSCAR file:
```
Na3CdIn3Br8
1.0
-1.572 -0.368 8.540
-6.286 -2.000 -5.666
6.979 -5.924 1.030
Na Cd In Br
3 1 3 8
Direct
0.500 0.000 0.500
0.500 0.500 0.500
0.000 0.500 0.500
0.000 0.000 0.500
0.000 0.000 0.000
0.000 0.500 0.000
0.500 0.500 0.000
0.261 0.522 0.283
0.739 0.478 0.717
0.775 0.549 0.294
0.225 0.451 0.706
0.775 0.019 0.294
0.225 0.981 0.706
0.244 0.019 0.294
0.756 0.981 0.706
```

total DFT energy (no corrections): -42.18 eV for the cell shown
energy relative to the elements, uncorrected: -1.047 eV per atom
space group: R-3m

=====

14.
Computed, not measured: crystalline NaCdIn2Br5 at its relaxed geometry at the PBE-GGA level of DFT.

POSCAR file:
```
NaCdIn2Br5
1.0
4.264 0.000 0.000
-2.132 9.314 0.000
0.000 0.000 15.270
Na Cd In Br
2 2 4 10
Direct
0.543 0.087 0.952
0.457 0.913 0.452
0.776 0.552 0.526
0.224 0.448 0.026
0.868 0.737 0.787
0.088 0.176 0.654
0.132 0.263 0.287
0.912 0.824 0.154
0.373 0.745 0.997
0.701 0.402 0.908
0.494 0.987 0.778
0.263 0.527 0.654
0.925 0.851 0.568
0.627 0.255 0.497
0.299 0.598 0.408
0.506 0.013 0.278
0.737 0.473 0.154
0.075 0.149 0.068
```

total DFT energy (no corrections): -48.27 eV for the cell shown
energy relative to the elements, uncorrected: -0.895 eV per atom
space group: Cmc2_1

=====

15.
Computed, not measured: crystalline NpCdInBr6 at its relaxed geometry at the PBE-GGA level of DFT.

POSCAR file:
```
NpCdInBr6
1.0
7.418 0.000 0.000
-3.709 6.424 0.000
0.000 0.000 14.275
Np Cd In Br
2 2 2 12
Direct
0.333 0.667 0.250
0.667 0.333 0.750
0.667 0.333 0.250
0.333 0.667 0.750
0.000 0.000 0.000
0.000 0.000 0.500
0.637 0.630 0.136
0.993 0.363 0.136
0.363 0.993 0.636
0.007 0.637 0.864
0.370 0.363 0.364
0.993 0.630 0.364
0.630 0.993 0.864
0.637 0.007 0.364
0.007 0.370 0.636
0.370 0.007 0.136
0.630 0.637 0.636
0.363 0.370 0.864
```

total DFT energy (no corrections): -71.39 eV for the cell shown
energy relative to the elements, uncorrected: -1.007 eV per atom
space group: P-31c

=====

16.
Computed, not measured: crystalline CdInBrO2 at its relaxed geometry at the PBE-GGA level of DFT.

POSCAR file:
```
CdInBrO2
1.0
4.174 0.000 0.000
0.000 6.687 0.206
0.000 0.098 7.957
Cd In Br O
2 2 2 4
Direct
0.750 0.181 0.575
0.250 0.819 0.425
0.250 0.943 0.853
0.750 0.057 0.147
0.750 0.422 0.272
0.250 0.578 0.728
0.750 0.029 0.880
0.250 0.971 0.120
0.250 0.091 0.614
0.750 0.909 0.386
```

total DFT energy (no corrections): -41.63 eV for the cell shown
energy relative to the elements, uncorrected: -1.115 eV per atom
space group: P2_1/m

=====

17.
Computed, not measured: crystalline CdIn2PbBr6 at its relaxed geometry at the PBE-GGA level of DFT.

POSCAR file:
```
CdIn2PbBr6
1.0
6.496 0.000 0.000
0.000 7.806 0.000
0.000 0.000 7.806
Cd In Pb Br
1 2 1 6
Direct
0.581 0.000 0.000
0.010 0.500 0.000
0.010 0.000 0.500
0.593 0.500 0.500
0.727 0.238 0.238
0.727 0.238 0.762
0.158 0.500 0.500
0.186 0.000 0.000
0.727 0.762 0.762
0.727 0.762 0.238
```

total DFT energy (no corrections): -27.57 eV for the cell shown
energy relative to the elements, uncorrected: -0.743 eV per atom
space group: P4mm

=====

18.
Computed, not measured: crystalline CdInPbBr5 at its relaxed geometry at the PBE-GGA level of DFT.

POSCAR file:
```
CdInPbBr5
1.0
8.136 0.053 -0.079
-2.324 7.797 -0.079
-2.513 -3.395 9.934
Cd In Pb Br
2 2 2 10
Direct
0.680 0.320 0.250
0.320 0.680 0.750
0.342 0.658 0.250
0.658 0.342 0.750
0.000 0.000 0.500
0.000 0.000 0.000
0.100 0.900 0.250
0.900 0.100 0.750
0.924 0.343 0.126
0.076 0.657 0.874
0.657 0.076 0.374
0.343 0.924 0.626
0.734 0.617 0.449
0.266 0.383 0.551
0.383 0.266 0.051
0.617 0.734 0.949
```

total DFT energy (no corrections): -44.41 eV for the cell shown
energy relative to the elements, uncorrected: -0.810 eV per atom
space group: C2/c

=====

19.
Computed, not measured: crystalline CdIn2PdBr at its relaxed geometry at the PBE-GGA level of DFT.

POSCAR file:
```
CdIn2PdBr
1.0
-0.837 -4.678 2.210
2.774 -2.296 -3.808
4.412 0.567 2.872
Cd Br Pd In
1 1 1 2
Direct
0.000 0.000 0.500
0.500 0.500 0.500
0.000 0.000 0.000
0.000 0.500 0.000
0.500 0.000 0.000
```

total DFT energy (no corrections): -15.06 eV for the cell shown
energy relative to the elements, uncorrected: -0.360 eV per atom
space group: P4/mmm

=====

20.
Computed, not measured: crystalline PmCdInBr6 at its relaxed geometry at the PBE-GGA level of DFT.

POSCAR file:
```
PmCdInBr6
1.0
-2.653 -5.627 3.947
7.100 0.096 -1.966
3.282 7.005 12.194
Pm Cd In Br
2 2 2 12
Direct
0.333 0.667 0.250
0.667 0.333 0.750
0.667 0.333 0.250
0.333 0.667 0.750
0.000 0.000 0.000
0.000 0.000 0.500
0.636 0.629 0.136
0.993 0.364 0.136
0.364 0.993 0.636
0.007 0.636 0.864
0.371 0.364 0.364
0.993 0.629 0.364
0.629 0.993 0.864
0.636 0.007 0.364
0.007 0.371 0.636
0.371 0.007 0.136
0.629 0.636 0.636
0.364 0.371 0.864
```

total DFT energy (no corrections): -59.58 eV for the cell shown
energy relative to the elements, uncorrected: -1.261 eV per atom
space group: P-31c